# 1
The following is a DFT calculation (PBE) of a geometry-optimized Ac2PdAu3 structure.

The space group is Pmm2 (No. 25) and the conventional cell measures 3.955, 4.865 and 8.170 Å, with angles of 90.00, 90.00 and 90.00 degrees. The inequivalent atoms are Ac at (0.000, 0.000, 0.000), Ac at (0.000, 0.500, 0.485), Pd at (0.500, 0.000, 0.317), Au at (0.500, 0.000, 0.654), Au at (0.500, 0.500, 0.162) and Au at (0.500, 0.500, 0.821).

Its magnetic moment is 0.000 μB/atom. Its density is 12.160 g/cm3. Its raw total energy is -28.2 eV per cell. As for the calculated volume: 157.2 Å³/cell. As for the formation energy: -0.83 eV per atom.

=====

# 2
The following is a DFT calculation (PBE) of a geometry-optimized Ga2Ag2Se structure.

The space group is I4/mmm (No. 139) and the conventional cell measures 3.954, 3.954 and 12.885 Å, with angles of 90.00, 90.00 and 90.00 degrees. The inequivalent atoms are Ga at (0.000, 0.000, 0.095), Ag at (0.000, 0.500, 0.250) and Se at (0.000, 0.000, 0.500).

Its magnetic moment is 0.000 μB/atom. Its density is 7.156 g/cm3. Its raw total energy is -29.9 eV per cell. As for the calculated volume: 201.5 Å³/cell. As for the energy relative to the lowest polymorph listed for this composition: 15.3 meV/atom. The raw formation energy comes out at 0.06 eV/atom.

=====

# 3
The following is a DFT calculation (PBE) of a geometry-optimized ReSiTeN2 structure.

The space group is P4/mmm (No. 123) and the conventional cell measures 3.593, 3.593 and 7.290 Å, with angles of 90.00, 90.00 and 90.00 degrees. The inequivalent atoms are Re at (0.000, 0.000, 0.000), Si at (0.500, 0.500, 0.500), Te at (0.500, 0.500, 0.000) and N at (0.000, 0.500, 0.500).

Its magnetic moment is 0.362 μB/atom. Its density is 6.528 g/cm3. Its raw total energy is -30.6 eV per cell. As for the calculated volume: 94.1 Å³/cell. As for the energy relative to the lowest polymorph listed for this composition: 669.4 meV/atom. The raw formation energy comes out at 1.41 eV/atom.

=====

# 4
The following is a DFT calculation (PBE) of a geometry-optimized Li4Ag2Au3 structure.

The space group is P-1 (No. 2) and the conventional cell measures 4.149, 4.728 and 8.374 Å, with angles of 79.34, 89.90 and 64.27 degrees. The inequivalent atoms are Li at (0.011, 0.477, 0.340), Li at (0.337, 0.827, 0.110), Ag at (0.331, 0.839, 0.783), Au at (0.000, 0.500, 0.000) and Au at (0.336, 0.827, 0.430).

Its magnetic moment is 0.000 μB/atom. Its density is 9.566 g/cm3. Its raw total energy is -26.6 eV per cell. As for the calculated volume: 144.8 Å³/cell. As for the energy relative to the lowest polymorph listed for this composition: 0.0 meV/atom. As for the formation energy: -0.38 eV per atom.

=====

# 5
The following is a DFT calculation (PBE) of a geometry-optimized AcLaNd2P4 structure.

The space group is P2/m (No. 10) and the conventional cell measures 7.385, 4.266 and 7.396 Å, with angles of 90.00, 109.40 and 90.00 degrees. The inequivalent atoms are Ac at (0.000, 0.000, 0.000), La at (0.500, 0.500, 0.000), Nd at (0.000, 0.500, 0.500), Nd at (0.500, 0.000, 0.500), P at (0.252, 0.000, 0.743) and P at (0.258, 0.500, 0.261).

Its magnetic moment is 0.000 μB/atom. Its density is 5.880 g/cm3. Its raw total energy is -52.3 eV per cell. As for the calculated volume: 219.8 Å³/cell. As for the formation energy: -1.51 eV per atom.

=====

# 6
The following is a DFT calculation (PBE) of a geometry-optimized SiTeIN2 structure.

The space group is P4/mmm (No. 123) and the conventional cell measures 3.913, 3.913 and 5.953 Å, with angles of 90.00, 90.00 and 90.00 degrees. The inequivalent atoms are Si at (0.000, 0.000, 0.000), Te at (0.000, 0.000, 0.500), I at (0.500, 0.500, 0.500) and N at (0.000, 0.500, 0.000).

Its magnetic moment is 0.021 μB/atom. Its density is 5.660 g/cm3. Its raw total energy is -20.7 eV per cell. As for the calculated volume: 91.1 Å³/cell. As for the energy relative to the lowest polymorph listed for this composition: 0.0 meV/atom. The raw formation energy comes out at 1.21 eV/atom.

=====

# 7
The following is a DFT calculation (PBE) of a geometry-optimized SmZn2Cu9 structure.

The space group is I4_1/amd (No. 141, origin choice 2) and the conventional cell measures 10.135, 10.135 and 6.609 Å, with angles of 90.00, 90.00 and 90.00 degrees. The inequivalent atoms are Sm at (0.000, 0.250, 0.375), Zn at (0.000, 0.000, 0.000), Cu at (0.000, 0.250, 0.875) and Cu at (0.123, 0.042, 0.680).

Its magnetic moment is 0.000 μB/atom. Its density is 8.348 g/cm3. Its raw total energy is -182.1 eV per cell. As for the calculated volume: 678.8 Å³/cell. As for the energy relative to the lowest polymorph listed for this composition: 0.0 meV/atom. As for the formation energy: -0.12 eV per atom.

=====

# 8
The following is a DFT calculation (PBE) of a geometry-optimized Dy2PuPd9 structure.

The space group is P4/mmm (No. 123) and the conventional cell measures 4.125, 4.125 and 12.405 Å, with angles of 90.00, 90.00 and 90.00 degrees. The inequivalent atoms are Dy at (0.000, 0.000, 0.165), Pu at (0.000, 0.000, 0.500), Pd at (0.000, 0.500, 0.000), Pd at (0.000, 0.500, 0.335), Pd at (0.500, 0.500, 0.166) and Pd at (0.500, 0.500, 0.500).

Its magnetic moment is 0.345 μB/atom. Its density is 12.009 g/cm3. Its raw total energy is -79.6 eV per cell. As for the calculated volume: 211.1 Å³/cell. As for the formation energy: -0.78 eV per atom.

=====

# 9
The following is a DFT calculation (PBE) of a geometry-optimized GeTe2As structure.

The space group is Fm-3m (No. 225) and the conventional cell measures 7.260, 7.260 and 7.260 Å, with angles of 90.00, 90.00 and 90.00 degrees. The inequivalent atoms are Ge at (0.000, 0.000, 0.000), Te at (0.250, 0.250, 0.250) and As at (0.000, 0.000, 0.500).

Its magnetic moment is 0.000 μB/atom. Its density is 6.991 g/cm3. Its raw total energy is -56.8 eV per cell. As for the calculated volume: 382.6 Å³/cell. As for the energy relative to the lowest polymorph listed for this composition: 302.5 meV/atom. The raw formation energy comes out at 0.34 eV/atom.

=====

# 10
The following is a DFT calculation (PBE) of a geometry-optimized K2TiGaO structure.

The space group is P4/mmm (No. 123) and the conventional cell measures 6.046, 6.046 and 4.957 Å, with angles of 90.00, 90.00 and 90.00 degrees. The inequivalent atoms are K at (0.000, 0.500, 0.000), Ti at (0.000, 0.000, 0.500), Ga at (0.000, 0.000, 0.000) and O at (0.500, 0.500, 0.500).

Its magnetic moment is 0.000 μB/atom. Its density is 1.940 g/cm3. Its raw total energy is -14.0 eV per cell. As for the calculated volume: 181.2 Å³/cell. The raw formation energy comes out at 0.82 eV/atom.

=====

# 11
The following is a DFT calculation (PBE) of a geometry-optimized NdNpTaN3 structure.

The space group is P2_1/m (No. 11) and the conventional cell measures 7.301, 3.346 and 8.129 Å, with angles of 90.00, 91.71 and 90.00 degrees. The inequivalent atoms are Nd at (0.136, 0.250, 0.171), Np at (0.377, 0.750, 0.847), Ta at (0.136, 0.250, 0.576), N at (0.147, 0.250, 0.842), N at (0.156, 0.750, 0.421) and N at (0.400, 0.750, 0.109).

Its magnetic moment is 0.618 μB/atom. Its density is 10.109 g/cm3. Its raw total energy is -120.0 eV per cell. As for the calculated volume: 198.5 Å³/cell. The raw formation energy comes out at -0.91 eV/atom.

=====

# 12
The following is a DFT calculation (PBE) of a geometry-optimized Ni2HgCl structure.

The space group is Fm-3m (No. 225) and the conventional cell measures 6.322, 6.322 and 6.322 Å, with angles of 90.00, 90.00 and 90.00 degrees. The inequivalent atoms are Ni at (0.250, 0.250, 0.250), Hg at (0.000, 0.000, 0.000) and Cl at (0.000, 0.000, 0.500).

Its magnetic moment is 0.136 μB/atom. Its density is 9.293 g/cm3. Its raw total energy is -46.5 eV per cell. As for the calculated volume: 252.6 Å³/cell. As for the energy relative to the lowest polymorph listed for this composition: 443.8 meV/atom. The raw formation energy comes out at 0.52 eV/atom.

=====

- Which of these has the lowest density?
  K2TiGaO